Record 1
Material: Tc3AsO
Method: DFT, GGA-PBE
State: relaxed

Lattice parameters (Å, degrees): 4.0957 4.0957 4.0957 90.00 90.00 90.00
Last column: nearest neighbours and their distance in Å.
Atoms (fractional coordinates):
Tc1 0.5000 0.0000 0.0000  2 O 2.05
As1 0.5000 0.5000 0.5000  12 Tc 2.90
O1 0.0000 0.0000 0.0000  6 Tc 2.05
Tc2 0.0000 0.5000 0.0000  2 O 2.05
Tc3 0.0000 0.0000 0.5000  2 O 2.05

## Properties
The value obtained for the energy is -7.89 eV per atom. For the total magnetization, the calculation gives 1.47 μB per formula unit. The calculation puts the energy above the lowest structure with this stoichiometry at 0.0 kJ per mole of atoms. For the raw formation energy, the calculation gives 0.249 eV per atom.

Record 2
Material: CaMn4Sb
Method: DFT, GGA-PBE
State: relaxed

Lattice parameters (Å, degrees): 5.4590 5.4590 5.4590 60.00 60.00 60.00
Last column: nearest neighbours and their distance in Å.
Atoms (fractional coordinates):
Mn1 0.3734 0.3734 0.3734  6 Mn 2.70-2.76
Sb1 0.7500 0.7500 0.7500  12 Mn 3.20, 4 Ca 3.34
Mn2 0.3734 0.8797 0.3734  6 Mn 2.70-2.76
Mn3 0.8797 0.3734 0.3734  6 Mn 2.70-2.76
Ca1 0.0000 0.0000 0.0000  12 Mn 3.20, 4 Sb 3.34
Mn4 0.3734 0.3734 0.8797  6 Mn 2.70-2.76

## Properties
The value obtained for the energy is -6.78 eV per atom. For the total magnetization, the calculation gives 15.15 μB per formula unit. For the raw formation energy, the calculation gives 0.358 eV per atom.

Record 3
Material: AcTl2Ge2O6
Method: DFT, GGA-PBE
State: relaxed

Lattice parameters (Å, degrees): 6.3384 6.2563 7.4348 118.14 90.00 120.43
Last column: nearest neighbours and their distance in Å.
Atoms (fractional coordinates):
Tl1 0.2940 0.5880 0.8395  4 O 2.84-2.96
O1 0.2740 0.0924 0.7751  1 Ge 1.76
O2 0.7260 0.9076 0.2249  1 Ge 1.76
O3 0.2316 0.4632 0.3479  1 Ge 1.74
O4 0.8184 0.0924 0.7751  1 Ge 1.76
Ge1 0.9610 0.9221 0.7963  3 O 1.74-1.76
Tl2 0.7060 0.4120 0.1605  4 O 2.84-2.96
Ac1 0.5000 0.0000 0.5000  6 O 2.47-2.51
Ge2 0.0390 0.0779 0.2037  3 O 1.74-1.76
O5 0.7684 0.5368 0.6521  1 Ge 1.74
O6 0.1816 0.9076 0.2249  1 Ge 1.76

## Properties
The value obtained for the energy is -6.02 eV per atom. For the total magnetization, the calculation gives 0.96 μB per formula unit. For the raw formation energy, the calculation gives -1.671 eV per atom.

Record 4
Material: Er4Bi
Method: DFT, GGA-PBE
State: relaxed

Lattice parameters (Å, degrees): 5.7498 5.7498 5.7498 90.00 90.00 90.00
Last column: nearest neighbours and their distance in Å.
Atoms (fractional coordinates):
Er1 0.0000 0.0000 0.0000  12 Er 4.07
Er2 0.0000 0.5000 0.5000  2 Bi 2.87
Er3 0.5000 0.0000 0.5000  2 Bi 2.87
Er4 0.5000 0.5000 0.0000  2 Bi 2.87
Bi1 0.5000 0.5000 0.5000  6 Er 2.87

## Properties
The value obtained for the energy is -4.07 eV per atom. For the total magnetization, the calculation gives 2.02 μB per formula unit. The formation energy comes out at 8.330 kcal/mol of atoms.

Record 5
Material: KBaAlTl2
Method: DFT, GGA-PBE
State: relaxed

Lattice parameters (Å, degrees): 5.5749 6.2795 5.5749 90.00 90.00 90.00
Last column: nearest neighbours and their distance in Å.
Atoms (fractional coordinates):
Ba1 0.0000 0.5000 0.0000  2 Al 3.14
K1 0.5000 0.5000 0.5000  4 Ba 3.94, 8 Tl 4.20
Tl1 0.0000 0.0000 0.5000  2 Al 2.79
Al1 0.0000 0.0000 0.0000  4 Tl 2.79
Tl2 0.5000 0.0000 0.0000  2 Al 2.79

## Properties
The value obtained for the energy is -2.18 eV per atom. For the total magnetization, the calculation gives 0.00 μB per formula unit. The formation energy comes out at 2.856 kcal/mol of atoms.

Record 6
Material: Sc2BiPd6
Method: DFT, GGA-PBE
State: relaxed

Lattice parameters (Å, degrees): 3.1401 7.6766 8.1118 118.24 101.52 90.00
Last column: nearest neighbours and their distance in Å.
Atoms (fractional coordinates):
Bi1 0.0000 0.0000 0.0000  8 Pd 2.83-2.89, 2 Bi 3.14
Sc1 0.6689 0.6679 0.3358  8 Pd 2.73-2.79
Pd1 0.8314 0.0398 0.6640  3 Sc 2.74-2.79, 1 Bi 2.83, 4 Pd 2.83-2.95
Pd2 0.5000 0.3168 0.0000  2 Sc 2.73, 5 Pd 2.81-2.95, 2 Bi 2.89
Pd3 0.8314 0.6242 0.6640  3 Sc 2.74-2.79, 1 Bi 2.83, 4 Pd 2.83-2.95
Sc2 0.3311 0.3321 0.6642  8 Pd 2.73-2.79
Pd4 0.1686 0.3758 0.3360  3 Sc 2.74-2.79, 1 Bi 2.83, 4 Pd 2.83-2.95
Pd5 0.5000 0.6832 0.0000  2 Sc 2.73, 5 Pd 2.81-2.95, 2 Bi 2.89
Pd6 0.1686 0.9602 0.3360  3 Sc 2.74-2.79, 1 Bi 2.83, 4 Pd 2.83-2.95

## Properties
The value obtained for the energy is -5.78 eV per atom. For the total magnetization, the calculation gives 0.00 μB per formula unit. The formation energy comes out at -11.148 kcal/mol of atoms.

Record 7
Material: Sm2DyZrP4
Method: DFT, GGA-PBE
State: relaxed

Lattice parameters (Å, degrees): 3.9746 6.8889 6.9002 109.26 90.00 90.00
Last column: nearest neighbours and their distance in Å.
Atoms (fractional coordinates):
Dy1 0.5000 0.5000 0.0000  6 P 2.79
P1 0.0000 0.2459 0.7625  1 Zr 2.72, 2 Dy 2.79, 3 Sm 2.84-2.90
P2 0.5000 0.2370 0.2329  2 Zr 2.73, 1 Dy 2.79, 3 Sm 2.84-2.90
P3 0.5000 0.7630 0.7671  2 Zr 2.73, 1 Dy 2.79, 3 Sm 2.84-2.90
Zr1 0.0000 0.0000 0.0000  6 P 2.72-2.73
Sm1 0.0000 0.5000 0.5000  6 P 2.90
Sm2 0.5000 0.0000 0.5000  6 P 2.84
P4 0.0000 0.7541 0.2375  1 Zr 2.72, 2 Dy 2.79, 3 Sm 2.84-2.90

## Properties
The value obtained for the energy is -7.06 eV per atom. For the total magnetization, the calculation gives 0.00 μB per formula unit. The formation energy comes out at -35.224 kcal/mol of atoms.

Record 8
Material: Tm2Sc3Si4
Method: DFT, GGA-PBE
State: relaxed

Lattice parameters (Å, degrees): 7.0209 7.3324 7.3446 90.00 90.00 108.21
Last column: nearest neighbours and their distance in Å.
Atoms (fractional coordinates):
Sc1 0.5000 0.5000 0.0000  6 Si 2.78-2.96
Tm1 0.4272 0.8060 0.6749  6 Si 2.89-3.11
Sc2 0.2515 0.7516 0.1800  6 Si 2.69-2.81
Sc3 0.0000 0.5000 0.5000  6 Si 2.78-2.96
Sc4 0.7485 0.2484 0.8200  6 Si 2.69-2.81
Sc5 0.2485 0.2484 0.6800  6 Si 2.69-2.81
Tm2 0.0728 0.1940 0.1749  6 Si 2.89-3.11
Si1 0.8722 0.4915 0.1222  1 Si 2.51, 4 Sc 2.73-2.81
Si2 0.1362 0.9228 0.4652  1 Si 2.56, 3 Sc 2.69-2.81
Si3 0.6362 0.9228 0.0348  1 Si 2.56, 3 Sc 2.69-2.81
Si4 0.3722 0.4915 0.3778  1 Si 2.51, 4 Sc 2.73-2.81
Si5 0.3638 0.0772 0.9652  1 Si 2.56, 3 Sc 2.69-2.81
Si6 0.1278 0.5085 0.8778  1 Si 2.51, 4 Sc 2.73-2.81
Si7 0.6278 0.5085 0.6222  1 Si 2.51, 4 Sc 2.73-2.81
Sc6 0.7515 0.7516 0.3200  6 Si 2.69-2.81
Tm3 0.9272 0.8060 0.8251  6 Si 2.89-3.11
Si8 0.8638 0.0772 0.5348  1 Si 2.56, 3 Sc 2.69-2.81
Tm4 0.5728 0.1940 0.3251  6 Si 2.89-3.11

## Properties
The value obtained for the energy is -6.34 eV per atom. For the total magnetization, the calculation gives 0.00 μB per formula unit. The calculation puts the energy above the lowest structure with this stoichiometry at 0.3 kJ per mole of atoms. For the raw formation energy, the calculation gives -0.822 eV per atom.